Material: LaHfS2N
Method: DFT, PBE
State: optimized geometry

Geometry as POSCAR:
```
LaHfS2N
1.0
4.9832 0.0000 0.0000
0.0000 4.9832 0.0000
0.0000 0.0000 4.1010
S N Hf La
2 1 1 1
Direct
0.0000 0.5000 0.0000
0.5000 0.0000 0.0000
0.0000 0.0000 0.5000
0.0000 0.0000 0.0000
0.5000 0.5000 0.5000
```

Summary:
- distance to the lowest polymorph of the same formula (meV per atom) = 0
- energy relative to the elements, uncorrected (eV per atom) = -1.419
- space group = P4/mmm
- V (Å³/atom) = 20.4
- mass density (Mg/m³) = 6.45
- DOS(E_F) (states/eV per atom) = 0.2309